# 1
ThFeTcB2 after structural relaxation. Source: the Alexandria database, functional PBE.

Output
Total magnetic moment: 1.6 μB/f.u.
Formation energy: -0.32 eV/atom

Lattice parameters (Å, degrees): 3.7020 3.7020 10.3160 90.00 90.00 90.00
Space group I-4m2 (No. 119)
Symmetry-distinct sites (fractional):
Th: 0.0000 0.0000 0.0000
Fe: 0.0000 0.5000 0.2500
Tc: 0.0000 0.5000 0.7500
B: 0.0000 0.0000 0.3573



# 2
NbZnPd after structural relaxation. Source: the Alexandria database, functional PBE.

Output
Total magnetic moment: 0.0 μB/f.u.
Formation energy: -0.28 eV/atom

Lattice parameters (Å, degrees): 2.8580 2.8580 11.5526 90.00 90.00 90.00
Space group I4mm (No. 107)
Symmetry-distinct sites (fractional):
Nb: 0.0000 0.0000 0.0000
Zn: 0.0000 0.0000 0.3270
Pd: 0.0000 0.0000 0.6757



# 3
CaErPtAu after structural relaxation. Source: the Alexandria database, functional PBE.

Output
Excess energy over the best structure of this formula in the dataset: 0 meV per atom
Total magnetic moment: 0.0 μB/f.u.
Formation energy: -0.98 eV/atom

Lattice parameters (Å, degrees): 4.4087 3.8244 11.0545 90.00 90.00 90.00
Space group Amm2 (No. 38)
Symmetry-distinct sites (fractional):
Ca: 0.0000 0.0000 0.0000
Er: 0.5000 0.0000 0.7200
Pt: 0.0000 0.0000 0.2664
Au: 0.5000 0.0000 0.4397



# 4
Be3MoAu after structural relaxation. Source: the Alexandria database, functional PBE.

Output
Excess energy over the best structure of this formula in the dataset: 0 meV per atom
Total magnetic moment: 0.0 μB/f.u.
Formation energy: 0.91 eV/atom

Lattice parameters (Å, degrees): 4.1758 4.1758 4.1758 90.00 90.00 90.00
Space group Pm-3m (No. 221)
Symmetry-distinct sites (fractional):
Be: 0.0000 0.0000 0.5000
Mo: 0.5000 0.5000 0.5000
Au: 0.0000 0.0000 0.0000



# 5
LiNi2AuN after structural relaxation. Source: the Alexandria database, functional PBE.

Output
Excess energy over the best structure of this formula in the dataset: 0 meV per atom
Total magnetic moment: 0.0 μB/f.u.

Lattice parameters (Å, degrees): 3.7301 3.7301 4.0847 90.00 90.00 90.00
Space group P4/mmm (No. 123)
Symmetry-distinct sites (fractional):
Li: 0.0000 0.0000 0.0000
Ni: 0.0000 0.5000 0.5000
Au: 0.5000 0.5000 0.0000
N: 0.0000 0.0000 0.5000



# 6
Rb2NaLaI6 after structural relaxation. Source: the Alexandria database, functional PBE.

Output
Excess energy over the best structure of this formula in the dataset: 42 meV per atom
Total magnetic moment: 0.0 μB/f.u.

Lattice parameters (Å, degrees): 12.5659 12.5659 12.5659 90.00 90.00 90.00
Space group Fm-3m (No. 225)
Symmetry-distinct sites (fractional):
Rb: 0.2500 0.2500 0.2500
Na: 0.0000 0.0000 0.0000
La: 0.0000 0.0000 0.5000
I: 0.0000 0.0000 0.2498